1.
The following is a DFT calculation (GGA-PBE) of LaNd2Zn4 after structural relaxation.

Cell and atoms, written as POSCAR:
```
LaNd2Zn4
1.0
-0.9501 -5.0350 1.5696
5.1655 -0.5666 1.3092
-3.3898 4.9033 4.5291
La Nd Zn
1 2 4
direct
0.0000 0.0000 0.0000
0.7185 0.7185 0.4369
0.2815 0.2815 0.5631
0.3903 0.8903 0.7806
0.8903 0.3903 0.7806
0.6097 0.1097 0.2194
0.1097 0.6097 0.2194
```

Summary:
**Energy**: -20.439 eV per formula unit
**Symmetry**: I4/mmm
**Energy of formation**: -0.9 eV per formula unit
**Magnetic moment**: 0.000 μB per atom
**Crystal system**: tetragonal
**DOS at the Fermi energy**: 5.139 states/eV/cell

2.
The following is a DFT calculation (GGA-PBE) of La4NdZn after structural relaxation.

Cell and atoms, written as POSCAR:
```
La4NdZn
1.0
3.7435 0.7900 0.0675
0.5585 6.4936 1.1769
-0.5166 1.6485 8.7249
La Nd Zn
4 1 1
direct
0.5894 0.0716 0.2012
0.6098 0.0311 0.6407
0.9127 0.4230 0.7949
0.8931 0.4636 0.3557
0.2515 0.7471 0.9982
0.2514 0.7472 0.4981
```

Summary:
**Energy**: -26.263 eV per formula unit
**Symmetry**: P-1
**Energy of formation**: -0.5 eV per formula unit
**Magnetic moment**: 0.000 μB per atom
**Crystal system**: triclinic
**DOS at the Fermi energy**: 8.351 states/eV/cell
**E above lowest polymorph**: 0.015 eV/atom

3.
The following is a DFT calculation (GGA-PBE) of LaNdZn3 after structural relaxation.

Cell and atoms, written as POSCAR:
```
LaNdZn3
1.0
3.6303 0.0000 -0.4998
0.0000 4.6535 0.0000
0.0970 0.0000 14.1374
La Nd Zn
2 2 6
direct
0.9278 0.7500 0.8557
0.0722 0.2500 0.1443
0.2081 0.7500 0.4162
0.7919 0.2500 0.5838
0.6186 0.7500 0.2372
0.3814 0.2500 0.7628
0.5234 0.7500 0.0468
0.4766 0.2500 0.9532
0.6712 0.2500 0.3424
0.3288 0.7500 0.6576
```

Summary:
**Energy**: -15.095 eV per formula unit
**Symmetry**: Cmcm
**Energy of formation**: -1.6 eV per formula unit
**Magnetic moment**: 0.000 μB per atom
**Crystal system**: orthorhombic
**DOS at the Fermi energy**: 8.768 states/eV/cell

4.
The following is a DFT calculation (GGA-PBE) of La5NdZn4 after structural relaxation.

Cell and atoms, written as POSCAR:
```
La5NdZn4
1.0
-0.7697 -1.9898 -3.1021
3.5148 0.5567 -1.2291
5.9418 -16.8732 9.3490
La Nd Zn
5 1 4
direct
0.5000 0.5000 0.1298
0.5000 0.5000 0.3144
0.5000 0.5000 0.5000
0.5000 0.5000 0.6856
0.5000 0.5000 0.8702
0.0000 0.0000 0.0000
0.0000 0.0000 0.2205
0.0000 0.0000 0.4074
0.0000 0.0000 0.5926
0.0000 0.0000 0.7795
```

Summary:
**Energy**: -36.967 eV per formula unit
**Symmetry**: P4/mmm
**Energy of formation**: -2.5 eV per formula unit
**Magnetic moment**: 0.000 μB per atom
**Crystal system**: tetragonal
**DOS at the Fermi energy**: 12.336 states/eV/cell